Entry 1:
Here is a geometry-optimized Bi8Mo3 structure from Alexandria. Energies are from PBE-GGA.

Cell and atoms, written as CIF:
```
data_Bi8Mo3
_chemical_formula_sum 'Bi16 Mo6'
_cell_length_a 7.412
_cell_length_b 4.865
_cell_length_c 17.057
_cell_angle_alpha 90.00
_cell_angle_beta 102.24
_cell_angle_gamma 90.00
_symmetry_space_group_name_H-M 'P 1 21/m 1'
_symmetry_Int_Tables_number 11
_symmetry_space_group_name_Hall '-P 2yb'
loop_
_atom_site_label
_atom_site_type_symbol
_atom_site_fract_x
_atom_site_fract_y
_atom_site_fract_z
Bi1 Bi 0.040 0.250 0.335
Bi2 Bi 0.142 0.250 0.981
Bi3 Bi 0.145 0.250 0.782
Bi4 Bi 0.206 0.750 0.467
Bi5 Bi 0.279 0.750 0.132
Bi6 Bi 0.344 0.750 0.904
Bi7 Bi 0.380 0.250 0.603
Bi8 Bi 0.435 0.250 0.263
Mo1 Mo 0.046 0.250 0.150
Mo2 Mo 0.237 0.750 0.295
Mo3 Mo 0.421 0.250 0.436
```

Calculated values
Formation enthalpy at 0 K (eV/atom): 0.344

Entry 2:
Here is a geometry-optimized BeTeCN2 structure from Alexandria. Energies are from PBE-GGA.

Cell and atoms, written as CIF:
```
data_BeTeCN2
_chemical_formula_sum 'Be1 Te1 C1 N2'
_cell_length_a 3.232
_cell_length_b 3.232
_cell_length_c 7.336
_cell_angle_alpha 90.00
_cell_angle_beta 90.00
_cell_angle_gamma 90.00
_symmetry_space_group_name_H-M 'P 4/m m m'
_symmetry_Int_Tables_number 123
_symmetry_space_group_name_Hall '-P 4 2'
loop_
_atom_site_label
_atom_site_type_symbol
_atom_site_fract_x
_atom_site_fract_y
_atom_site_fract_z
Be1 Be 0.000 0.000 0.000
Te1 Te 0.000 0.000 0.500
C1 C 0.500 0.500 0.500
N1 N 0.000 0.500 0.000
```

Calculated values
Uncorrected formation energy (kcal/mol of atoms): 40.76

Entry 3:
Here is a geometry-optimized PuPN structure from Alexandria. Energies are from PBE-GGA.

Cell and atoms, written as CIF:
```
data_PuPN
_chemical_formula_sum 'Pu4 P4 N4'
_cell_length_a 3.809
_cell_length_b 12.395
_cell_length_c 3.915
_cell_angle_alpha 90.00
_cell_angle_beta 90.00
_cell_angle_gamma 90.00
_symmetry_space_group_name_H-M 'C m c m'
_symmetry_Int_Tables_number 63
_symmetry_space_group_name_Hall '-C 2c 2'
loop_
_atom_site_label
_atom_site_type_symbol
_atom_site_fract_x
_atom_site_fract_y
_atom_site_fract_z
Pu1 Pu 0.000 0.157 0.250
P1 P 0.000 0.457 0.250
N1 N 0.000 0.251 0.750
```

Calculated values
Uncorrected formation energy (kcal/mol of atoms): -22.43

Entry 4:
Here is a geometry-optimized AlPdPb3 structure from Alexandria. Energies are from PBE-GGA.

Cell and atoms, written as CIF:
```
data_AlPdPb3
_chemical_formula_sum 'Al1 Pd1 Pb3'
_cell_length_a 5.375
_cell_length_b 5.375
_cell_length_c 5.375
_cell_angle_alpha 90.00
_cell_angle_beta 90.00
_cell_angle_gamma 90.00
_symmetry_space_group_name_H-M 'P m -3 m'
_symmetry_Int_Tables_number 221
_symmetry_space_group_name_Hall '-P 4 2 3'
loop_
_atom_site_label
_atom_site_type_symbol
_atom_site_fract_x
_atom_site_fract_y
_atom_site_fract_z
Al1 Al 0.000 0.000 0.000
Pd1 Pd 0.500 0.500 0.500
Pb1 Pb 0.000 0.500 0.500
```

Calculated values
Formation enthalpy at 0 K (eV/atom): 0.293

Entry 5:
Here is a geometry-optimized CeMgIr structure from Alexandria. Energies are from PBE-GGA.

Cell and atoms, written as CIF:
```
data_CeMgIr
_chemical_formula_sum 'Ce4 Mg4 Ir4'
_cell_length_a 6.623
_cell_length_b 6.623
_cell_length_c 6.623
_cell_angle_alpha 90.00
_cell_angle_beta 90.00
_cell_angle_gamma 90.00
_symmetry_space_group_name_H-M 'F -4 3 m'
_symmetry_Int_Tables_number 216
_symmetry_space_group_name_Hall 'F -4 2 3'
loop_
_atom_site_label
_atom_site_type_symbol
_atom_site_fract_x
_atom_site_fract_y
_atom_site_fract_z
Ce1 Ce 0.000 0.000 0.000
Mg1 Mg 0.000 0.000 0.500
Ir1 Ir 0.250 0.250 0.250
```

Calculated values
Formation enthalpy at 0 K (eV/atom): -0.427

Entry 6:
Here is a geometry-optimized BeTe2Cl structure from Alexandria. Energies are from PBE-GGA.

Cell and atoms, written as CIF:
```
data_BeTe2Cl
_chemical_formula_sum 'Be1 Te2 Cl1'
_cell_length_a 3.803
_cell_length_b 3.878
_cell_length_c 7.501
_cell_angle_alpha 90.00
_cell_angle_beta 90.00
_cell_angle_gamma 90.00
_symmetry_space_group_name_H-M 'P m m m'
_symmetry_Int_Tables_number 47
_symmetry_space_group_name_Hall '-P 2 2'
loop_
_atom_site_label
_atom_site_type_symbol
_atom_site_fract_x
_atom_site_fract_y
_atom_site_fract_z
Be1 Be 0.000 0.000 0.000
Te1 Te 0.500 0.000 0.500
Te2 Te 0.500 0.500 0.000
Cl1 Cl 0.000 0.500 0.500
```

Calculated values
Uncorrected formation energy (kcal/mol of atoms): 9.88

Entry 7:
Here is a geometry-optimized Pm2Dy4Er5 structure from Alexandria. Energies are from PBE-GGA.

Cell and atoms, written as CIF:
```
data_Pm2Dy4Er5
_chemical_formula_sum 'Pm4 Dy8 Er10'
_cell_length_a 16.437
_cell_length_b 6.620
_cell_length_c 6.641
_cell_angle_alpha 90.00
_cell_angle_beta 100.20
_cell_angle_gamma 90.00
_symmetry_space_group_name_H-M 'C 1 2/m 1'
_symmetry_Int_Tables_number 12
_symmetry_space_group_name_Hall '-C 2y'
loop_
_atom_site_label
_atom_site_type_symbol
_atom_site_fract_x
_atom_site_fract_y
_atom_site_fract_z
Pm1 Pm 0.199 0.000 0.295
Dy1 Dy 0.088 0.500 0.405
Dy2 Dy 0.244 0.000 0.804
Er1 Er 0.000 0.000 0.500
Er2 Er 0.088 0.262 0.905
```

Calculated values
Formation enthalpy at 0 K (eV/atom): 0.161

Entry 8:
Here is a geometry-optimized AcI structure from Alexandria. Energies are from PBE-GGA.

Cell and atoms, written as CIF:
```
data_AcI
_chemical_formula_sum 'Ac1 I1'
_cell_length_a 4.132
_cell_length_b 4.132
_cell_length_c 4.132
_cell_angle_alpha 90.00
_cell_angle_beta 90.00
_cell_angle_gamma 90.00
_symmetry_space_group_name_H-M 'P m -3 m'
_symmetry_Int_Tables_number 221
_symmetry_space_group_name_Hall '-P 4 2 3'
loop_
_atom_site_label
_atom_site_type_symbol
_atom_site_fract_x
_atom_site_fract_y
_atom_site_fract_z
Ac1 Ac 0.000 0.000 0.000
I1 I 0.500 0.500 0.500
```

Calculated values
Uncorrected formation energy (kcal/mol of atoms): -18.22

Entry 9:
Here is a geometry-optimized Nb2PbClF structure from Alexandria. Energies are from PBE-GGA.

Cell and atoms, written as CIF:
```
data_Nb2PbClF
_chemical_formula_sum 'Nb2 Pb1 Cl1 F1'
_cell_length_a 4.256
_cell_length_b 4.256
_cell_length_c 6.068
_cell_angle_alpha 90.00
_cell_angle_beta 90.00
_cell_angle_gamma 90.00
_symmetry_space_group_name_H-M 'P 4/m m m'
_symmetry_Int_Tables_number 123
_symmetry_space_group_name_Hall '-P 4 2'
loop_
_atom_site_label
_atom_site_type_symbol
_atom_site_fract_x
_atom_site_fract_y
_atom_site_fract_z
Nb1 Nb 0.000 0.500 0.000
Pb1 Pb 0.000 0.000 0.500
Cl1 Cl 0.500 0.500 0.500
F1 F 0.000 0.000 0.000
```

Calculated values
Uncorrected formation energy (kcal/mol of atoms): 6.34

Entry 10:
Here is a geometry-optimized Y12GaCu6 structure from Alexandria. Energies are from PBE-GGA.

Cell and atoms, written as CIF:
```
data_Y12GaCu6
_chemical_formula_sum 'Y24 Ga2 Cu12'
_cell_length_a 9.852
_cell_length_b 9.852
_cell_length_c 9.852
_cell_angle_alpha 90.00
_cell_angle_beta 90.00
_cell_angle_gamma 90.00
_symmetry_space_group_name_H-M 'I m -3'
_symmetry_Int_Tables_number 204
_symmetry_space_group_name_Hall '-I 2 2 3'
loop_
_atom_site_label
_atom_site_type_symbol
_atom_site_fract_x
_atom_site_fract_y
_atom_site_fract_z
Y1 Y 0.000 0.295 0.187
Ga1 Ga 0.000 0.000 0.000
Cu1 Cu 0.000 0.124 0.500
```

Calculated values
Formation enthalpy at 0 K (eV/atom): -0.211

Entry 11:
Here is a geometry-optimized AcPmAu structure from Alexandria. Energies are from PBE-GGA.

Cell and atoms, written as CIF:
```
data_AcPmAu
_chemical_formula_sum 'Ac4 Pm4 Au4'
_cell_length_a 13.809
_cell_length_b 3.813
_cell_length_c 7.613
_cell_angle_alpha 90.00
_cell_angle_beta 107.00
_cell_angle_gamma 90.00
_symmetry_space_group_name_H-M 'C 1 2/m 1'
_symmetry_Int_Tables_number 12
_symmetry_space_group_name_Hall '-C 2y'
loop_
_atom_site_label
_atom_site_type_symbol
_atom_site_fract_x
_atom_site_fract_y
_atom_site_fract_z
Ac1 Ac 0.147 0.000 0.080
Pm1 Pm 0.135 0.000 0.562
Au1 Au 0.010 0.500 0.738
```

Calculated values
Formation enthalpy at 0 K (eV/atom): -0.482

Per-record theoretical density, g/cm3: 10.828, 3.827, 10.383, 8.074, 8.154, 4.499, 8.295, 8.329, 6.761, 5.272, 9.860
Per-record Fermi-level density of states, states/eV/cell: 15.59, 3.36, 20.79, 4.47, 22.77, 2.24, 31.09, 1.32, 6.67, 20.48, 14.21